[1]
Computed, not measured: Tm4Zn2Ir after structural relaxation at the PBE level of DFT.

Cell lengths 6.8875, 6.8875, 6.8371 Å; angles 90.00, 90.00, 90.00 degrees
With the nearest neighbours (Å) after each atom.
Fractional coordinates of all 14 atoms:
Tm1 0.2500 0.2500 0.2500  2 Ir 2.98, 4 Zn 2.98
Tm2 0.2500 0.2500 0.7500  2 Ir 2.98, 4 Zn 2.98
Tm3 0.2500 0.7500 0.2500  2 Ir 2.98, 4 Zn 2.98
Tm4 0.2500 0.7500 0.7500  2 Ir 2.98, 4 Zn 2.98
Tm5 0.7500 0.2500 0.2500  2 Ir 2.98, 4 Zn 2.98
Tm6 0.7500 0.2500 0.7500  2 Ir 2.98, 4 Zn 2.98
Tm7 0.7500 0.7500 0.2500  2 Ir 2.98, 4 Zn 2.98
Tm8 0.7500 0.7500 0.7500  2 Ir 2.98, 4 Zn 2.98
Zn1 0.0000 0.5000 0.0000  8 Tm 2.98
Zn2 0.0000 0.5000 0.5000  8 Tm 2.98
Zn3 0.5000 0.0000 0.0000  8 Tm 2.98
Zn4 0.5000 0.0000 0.5000  8 Tm 2.98
Ir1 0.0000 0.0000 0.0000  8 Tm 2.98
Ir2 0.5000 0.5000 0.5000  8 Tm 2.98

Summary:
Electronic total energy (eV/atom): -4.616
Total magnetization (μB per atom): 0.000
Space group: I4/mmm
Formation energy (kJ/mol of atoms): -41.6

=====

[2]
Computed, not measured: Sr5Re after structural relaxation at the PBE level of DFT.

Cell lengths 16.0969, 5.8464, 6.0338 Å; angles 90.00, 111.92, 90.00 degrees
With the nearest neighbours (Å) after each atom.
Fractional coordinates of all 12 atoms:
Sr1 0.0000 0.0000 0.0000  2 Re 3.02
Sr2 0.0857 0.5000 0.7647  5 Sr 3.35-3.73, 2 Re 3.37
Sr3 0.2003 0.0000 0.6308  1 Re 3.02
Sr4 0.2997 0.5000 0.3692  1 Re 3.02
Sr5 0.4143 0.0000 0.2353  5 Sr 3.35-3.73, 2 Re 3.37
Sr6 0.5000 0.5000 0.0000  2 Re 3.02
Sr7 0.5857 0.0000 0.7647  5 Sr 3.35-3.73, 2 Re 3.37
Sr8 0.7003 0.5000 0.6308  1 Re 3.02
Sr9 0.7997 0.0000 0.3692  1 Re 3.02
Sr10 0.9143 0.5000 0.2353  5 Sr 3.35-3.73, 2 Re 3.37
Re1 0.0000 0.0000 0.5000  8 Sr 3.02-3.37
Re2 0.5000 0.5000 0.5000  8 Sr 3.02-3.37

Summary:
Electronic total energy (eV/atom): -2.828
Total magnetization (μB per atom): 0.151
Space group: C2/m
Formation energy (kJ/mol of atoms): 62.6
Offset from the most stable computed form (kJ per mole of atoms): 0.00